GGA-PBE GdTlSeO, relaxed; magnetization = 0.0 μB per cell; final energy = -47.1 eV/cell; offset from the most stable computed form = 0 meV/atom
1.0
2.735 -2.734 0.000
2.735 2.734 0.000
-0.449 0.000 12.166
Gd Tl Se O
2 2 2 2
direct
0.242 0.242 0.405
0.758 0.758 0.595
0.216 0.277 0.112
0.723 0.784 0.888
0.252 0.265 0.747
0.735 0.748 0.253
0.250 0.750 0.500
0.750 0.250 0.500